# 1
Entry from the Alexandria database: an optimized crystal structure of Tb4ErTmSc2 (PBE).

a b c (Å): 5.6374 5.6374 9.3653
angles (deg): 53.02 90.00 90.00
Fractional positions:
Sc  0.0000  0.0000  0.0000
Sc  0.5000  0.0000  0.5000
Tb  0.0000  0.2490  0.2509
Tb  0.5000  0.2510  0.7490
Tb  0.0000  0.7510  0.7491
Tb  0.5000  0.7490  0.2510
Er  0.5000  0.5000  0.0000
Tm  0.0000  0.5000  0.5000

Computed properties:
As for the total moment: 0.01 μB per cell. Its uncorrected energy is -39.3 eV per cell. The density of states at the Fermi level is 15.3 states/eV per cell.

# 2
Entry from the Alexandria database: an optimized crystal structure of TbEr2TmSc4 (PBE).

a b c (Å): 9.0459 9.0459 11.2116
angles (deg): 128.29 128.29 88.55
Fractional positions:
Sc  0.2516  0.2527  0.5033
Sc  0.7489  0.2516  0.0003
Sc  0.2511  0.7484  0.9997
Sc  0.2484  0.7511  0.4997
Sc  0.7484  0.7473  0.4967
Sc  0.7516  0.2489  0.5003
Sc  0.2473  0.2484  0.9967
Sc  0.7527  0.7516  0.0033
Er  0.5000  0.0000  0.0000
Er  0.0000  0.0000  0.5000
Er  0.5000  0.0000  0.5000
Er  0.5000  0.5000  0.0000
Tb  0.0000  0.0000  0.0000
Tb  0.5000  0.5000  0.5000
Tm  0.0000  0.5000  0.0000
Tm  0.0000  0.5000  0.5000

Computed properties:
As for the total moment: 8.31 μB per cell. Its uncorrected energy is -79.9 eV per cell. The density of states at the Fermi level is 33.9 states/eV per cell.

# 3
Entry from the Alexandria database: an optimized crystal structure of Tb6Er2TmSc (PBE).

a b c (Å): 9.4088 8.6634 8.6634
angles (deg): 117.32 93.94 93.94
Fractional positions:
Tb  0.6897  0.0064  0.5651
Tb  0.8826  0.2927  0.5051
Tb  0.8103  0.4349  0.9936
Tb  0.3103  0.9936  0.4349
Tb  0.1174  0.7073  0.4949
Tb  0.5544  0.7547  0.1244
Tb  0.1897  0.5651  0.0064
Tb  0.6174  0.4949  0.7073
Tb  0.3826  0.5051  0.2927
Tb  0.0544  0.1244  0.7547
Tb  0.9456  0.8756  0.2453
Tb  0.4456  0.2453  0.8756
Er  0.4536  0.7999  0.6980
Er  0.0464  0.3020  0.2001
Er  0.5464  0.2001  0.3020
Er  0.9536  0.6980  0.7999
Tm  0.7500  0.0224  0.9776
Tm  0.2500  0.9776  0.0224
Sc  0.7500  0.5869  0.4131
Sc  0.2500  0.4131  0.5869

Computed properties:
As for the total moment: 0.00 μB per cell. Its uncorrected energy is -92.9 eV per cell. The density of states at the Fermi level is 26.4 states/eV per cell.

# 4
Entry from the Alexandria database: an optimized crystal structure of Tb2ErTmSc2 (PBE).

a b c (Å): 5.4133 9.3363 6.8563
angles (deg): 90.00 90.00 90.00
Fractional positions:
Tb  0.0000  0.3330  0.2496
Tb  0.0000  0.6670  0.7504
Tb  0.5000  0.8330  0.2504
Tb  0.5000  0.1670  0.7496
Er  0.0000  0.0000  0.0000
Er  0.5000  0.5000  0.5000
Sc  0.0000  0.6664  0.2500
Sc  0.5000  0.1664  0.2500
Sc  0.5000  0.8336  0.7500
Sc  0.0000  0.3336  0.7500
Tm  0.0000  0.0000  0.5000
Tm  0.5000  0.5000  0.0000

Computed properties:
As for the total moment: 0.00 μB per cell. Its uncorrected energy is -61.1 eV per cell. The density of states at the Fermi level is 23.5 states/eV per cell.

Values for energy of formation, eV/f.u., ordered as above
0.91, 3.63, 1.27, 0.40